1.
! PBE LaAlRu2, optimized geometry; values from VASP
&SYSTEM
  ibrav = 0, nat = 8, ntyp = 3
/
ATOMIC_SPECIES
La 138.91 La.upf
Al 26.98 Al.upf
Ru 101.07 Ru.upf
ATOMIC_POSITIONS crystal
La 0.000 0.000 0.000
La 0.500 0.500 0.000
Al 0.000 0.500 0.500
Al 0.500 0.000 0.500
Ru 0.232 0.000 0.679
Ru 0.268 0.500 0.321
Ru 0.732 0.500 0.679
Ru 0.768 0.000 0.321
CELL_PARAMETERS angstrom
8.277 0.000 0.000
0.000 3.300 0.000
-1.406 0.000 5.545
! Fermi-level density of states, states/eV per cell: 5.10
! Spin magnetization, μB/atom: 0.000
! Space group: C2/m (12)
! Formation enthalpy at 0 K, meV/atom: -143

***

2.
! PBE ThUSb2, optimized geometry; values from VASP
&SYSTEM
  ibrav = 0, nat = 16, ntyp = 3
/
ATOMIC_SPECIES
Th 232.04 Th.upf
U 238.03 U.upf
Sb 121.76 Sb.upf
ATOMIC_POSITIONS crystal
Th 0.000 0.000 0.000
Th 0.000 0.500 0.500
Th 0.500 0.000 0.500
Th 0.500 0.500 0.000
U 0.000 0.000 0.500
U 0.000 0.500 0.000
U 0.500 0.000 0.000
U 0.500 0.500 0.500
Sb 0.250 0.250 0.250
Sb 0.250 0.250 0.750
Sb 0.250 0.750 0.250
Sb 0.250 0.750 0.750
Sb 0.750 0.250 0.250
Sb 0.750 0.250 0.750
Sb 0.750 0.750 0.250
Sb 0.750 0.750 0.750
CELL_PARAMETERS angstrom
7.612 0.000 0.000
0.000 7.612 0.000
0.000 0.000 7.612
! Fermi-level density of states, states/eV per cell: 29.83
! Energy relative to the elements, uncorrected, eV/atom: -0.44
! Spin magnetization, μB/atom: 0.789
! Space group: Fm-3m (225)
! E above lowest polymorph, meV per atom: 95.9

***

3.
! PBE CaSeBr2, optimized geometry; values from VASP
&SYSTEM
  ibrav = 0, nat = 12, ntyp = 3
/
ATOMIC_SPECIES
Ca 40.08 Ca.upf
Se 78.96 Se.upf
Br 79.90 Br.upf
ATOMIC_POSITIONS crystal
Ca 0.000 0.000 0.000
Ca 0.333 0.667 0.667
Ca 0.667 0.333 0.333
Se 0.000 0.000 0.500
Se 0.333 0.667 0.167
Se 0.667 0.333 0.833
Br 0.000 0.000 0.385
Br 0.000 0.000 0.615
Br 0.333 0.667 0.051
Br 0.333 0.667 0.282
Br 0.667 0.333 0.718
Br 0.667 0.333 0.949
CELL_PARAMETERS angstrom
4.151 0.000 0.000
-2.075 3.594 0.000
0.000 0.000 31.795
! Fermi-level density of states, states/eV per cell: 3.35
! Energy relative to the elements, uncorrected, eV/atom: -0.98
! Spin magnetization, μB/atom: 0.500
! Space group: R-3m (166)
! E above lowest polymorph, meV per atom: 254.5

***

4.
! PBE Fe2SiAu2, optimized geometry; values from VASP
&SYSTEM
  ibrav = 0, nat = 10, ntyp = 3
/
ATOMIC_SPECIES
Fe 55.84 Fe.upf
Si 28.09 Si.upf
Au 196.97 Au.upf
ATOMIC_POSITIONS crystal
Fe 0.135 0.365 0.000
Fe 0.365 0.865 0.000
Fe 0.635 0.135 0.000
Fe 0.865 0.635 0.000
Si 0.000 0.000 0.000
Si 0.500 0.500 0.000
Au 0.170 0.670 0.500
Au 0.330 0.170 0.500
Au 0.670 0.830 0.500
Au 0.830 0.330 0.500
CELL_PARAMETERS angstrom
5.908 0.000 0.000
0.000 5.908 0.000
0.000 0.000 4.232
! Fermi-level density of states, states/eV per cell: 7.47
! Energy relative to the elements, uncorrected, eV/atom: 0.12
! Spin magnetization, μB/atom: 0.654
! Space group: P4/mbm (127)

***

5.
! PBE Pm5Tl6Cd, optimized geometry; values from VASP
&SYSTEM
  ibrav = 0, nat = 12, ntyp = 3
/
ATOMIC_SPECIES
Pm 145.00 Pm.upf
Tl 204.38 Tl.upf
Cd 112.41 Cd.upf
ATOMIC_POSITIONS crystal
Pm 0.000 0.000 0.000
Pm 0.177 0.677 0.500
Pm 0.359 0.359 0.000
Pm 0.641 0.641 0.000
Pm 0.823 0.323 0.500
Tl 0.075 0.832 0.243
Tl 0.229 0.500 0.729
Tl 0.411 0.168 0.243
Tl 0.589 0.832 0.757
Tl 0.771 0.500 0.271
Tl 0.925 0.168 0.757
Cd 0.500 0.000 0.500
CELL_PARAMETERS angstrom
-2.644 3.983 8.227
2.644 -3.983 8.227
2.644 3.983 -8.227
! Fermi-level density of states, states/eV per cell: 8.25
! Spin magnetization, μB/atom: 0.000
! Space group: Immm (71)
! Formation enthalpy at 0 K, meV/atom: -328

***

6.
! PBE SrZn3Rh, optimized geometry; values from VASP
&SYSTEM
  ibrav = 0, nat = 10, ntyp = 3
/
ATOMIC_SPECIES
Sr 87.62 Sr.upf
Zn 65.41 Zn.upf
Rh 102.91 Rh.upf
ATOMIC_POSITIONS crystal
Sr 0.189 0.067 0.325
Sr 0.811 0.933 0.675
Zn 0.093 0.502 0.836
Zn 0.267 0.669 0.591
Zn 0.436 0.164 0.918
Zn 0.564 0.836 0.082
Zn 0.733 0.331 0.409
Zn 0.907 0.498 0.164
Rh 0.397 0.542 0.233
Rh 0.603 0.458 0.767
CELL_PARAMETERS angstrom
5.755 0.000 0.000
-0.619 6.106 0.000
-2.124 -2.689 5.610
! Fermi-level density of states, states/eV per cell: 4.18
! Spin magnetization, μB/atom: 0.000
! Space group: P-1 (2)
! E above lowest polymorph, meV per atom: 35.7
! Formation enthalpy at 0 K, meV/atom: -311

***

7.
! PBE AlSi3H, optimized geometry; values from VASP
&SYSTEM
  ibrav = 0, nat = 5, ntyp = 3
/
ATOMIC_SPECIES
Al 26.98 Al.upf
Si 28.09 Si.upf
H 1.01 H.upf
ATOMIC_POSITIONS crystal
Al 0.000 0.000 0.000
Si 0.000 0.000 0.500
Si 0.000 0.500 0.000
Si 0.500 0.000 0.000
H 0.500 0.500 0.500
CELL_PARAMETERS angstrom
4.762 0.000 0.000
0.000 4.762 0.000
0.000 0.000 4.762
! Fermi-level density of states, states/eV per cell: 3.26
! Spin magnetization, μB/atom: 0.074
! Space group: Pm-3m (221)
! E above lowest polymorph, meV per atom: 886.7

***

8.
! PBE CoAg2W, optimized geometry; values from VASP
&SYSTEM
  ibrav = 0, nat = 4, ntyp = 3
/
ATOMIC_SPECIES
Co 58.93 Co.upf
Ag 107.87 Ag.upf
W 183.84 W.upf
ATOMIC_POSITIONS crystal
Co 0.000 0.000 0.000
Ag 0.000 0.500 0.500
Ag 0.500 0.000 0.500
W 0.500 0.500 0.000
CELL_PARAMETERS angstrom
4.877 0.000 0.000
0.000 4.877 0.000
0.000 0.000 2.706
! Fermi-level density of states, states/eV per cell: 2.88
! Spin magnetization, μB/atom: 0.473
! Space group: P4/mmm (123)
! E above lowest polymorph, meV per atom: 545.1
! Formation enthalpy at 0 K, meV/atom: 874

***

9.
! PBE NdH6PdPt2, optimized geometry; values from VASP
&SYSTEM
  ibrav = 0, nat = 10, ntyp = 4
/
ATOMIC_SPECIES
Nd 144.24 Nd.upf
H 1.01 H.upf
Pd 106.42 Pd.upf
Pt 195.08 Pt.upf
ATOMIC_POSITIONS crystal
Nd 0.000 0.000 0.000
H 0.096 0.557 0.557
H 0.443 0.443 0.904
H 0.443 0.904 0.443
H 0.557 0.096 0.557
H 0.557 0.557 0.096
H 0.904 0.443 0.443
Pd 0.500 0.500 0.500
Pt 0.213 0.213 0.213
Pt 0.787 0.787 0.787
CELL_PARAMETERS angstrom
2.401 1.386 4.986
-2.401 1.386 4.986
0.000 -2.773 4.986
! Fermi-level density of states, states/eV per cell: 1.79
! Spin magnetization, μB/atom: 0.000
! Space group: R-3m (166)
! Final energy, eV per atom: -4.55

***

10.
! PBE Nd3Ho6Er2Mg, optimized geometry; values from VASP
&SYSTEM
  ibrav = 0, nat = 12, ntyp = 4
/
ATOMIC_SPECIES
Nd 144.24 Nd.upf
Ho 164.93 Ho.upf
Er 167.26 Er.upf
Mg 24.30 Mg.upf
ATOMIC_POSITIONS crystal
Nd 0.000 0.000 0.000
Nd 0.334 0.666 0.000
Nd 0.666 0.334 0.000
Ho 0.087 0.420 0.256
Ho 0.247 0.247 0.745
Ho 0.420 0.087 0.256
Ho 0.580 0.913 0.744
Ho 0.753 0.753 0.255
Ho 0.913 0.580 0.744
Er 0.166 0.834 0.500
Er 0.834 0.166 0.500
Mg 0.500 0.500 0.500
CELL_PARAMETERS angstrom
3.075 -5.330 0.000
3.075 5.330 0.000
-2.064 0.000 11.498
! Fermi-level density of states, states/eV per cell: 17.37
! Spin magnetization, μB/atom: 0.000
! Space group: C2/m (12)
! Formation enthalpy at 0 K, meV/atom: 36

***

11.
! PBE SmHo3Sb3, optimized geometry; values from VASP
&SYSTEM
  ibrav = 0, nat = 28, ntyp = 3
/
ATOMIC_SPECIES
Sm 150.36 Sm.upf
Ho 164.93 Ho.upf
Sb 121.76 Sb.upf
ATOMIC_POSITIONS crystal
Sm 0.070 0.430 0.570
Sm 0.430 0.570 0.070
Sm 0.570 0.070 0.430
Sm 0.930 0.930 0.930
Ho 0.075 0.575 0.925
Ho 0.178 0.822 0.322
Ho 0.180 0.180 0.180
Ho 0.320 0.820 0.680
Ho 0.322 0.178 0.822
Ho 0.425 0.425 0.425
Ho 0.575 0.925 0.075
Ho 0.678 0.678 0.678
Ho 0.680 0.320 0.820
Ho 0.820 0.680 0.320
Ho 0.822 0.322 0.178
Ho 0.925 0.075 0.575
Sb 0.001 0.255 0.878
Sb 0.122 0.501 0.245
Sb 0.245 0.122 0.501
Sb 0.255 0.878 0.001
Sb 0.378 0.499 0.745
Sb 0.499 0.745 0.378
Sb 0.501 0.245 0.122
Sb 0.622 0.999 0.755
Sb 0.745 0.378 0.499
Sb 0.755 0.622 0.999
Sb 0.878 0.001 0.255
Sb 0.999 0.755 0.622
CELL_PARAMETERS angstrom
9.216 0.000 0.000
0.000 9.216 0.000
0.000 0.000 9.216
! Fermi-level density of states, states/eV per cell: 26.91
! Energy relative to the elements, uncorrected, eV/atom: -0.99
! Spin magnetization, μB/atom: 0.000
! Space group: P2_13 (198)
! E above lowest polymorph, meV per atom: 0.0